Density functional theory data (PBE) for a relaxed CsNaAg crystal.

Geometry as POSCAR:
```
CsNaAg
1.0
5.034 0.000 0.000
0.000 7.217 -0.442
-2.517 -2.052 7.732
Ag Cs Na
2 2 2
Direct
0.774 0.104 0.547
0.226 0.896 0.453
0.869 0.707 0.739
0.131 0.293 0.261
0.606 0.760 0.212
0.394 0.240 0.788
```

Summary:
- excess energy over the best structure of this formula in the dataset (eV/atom) = 0.020
- electronic total energy (eV/atom) = -1.65
- formation energy from the elements (eV/atom) = 0.023

Density functional theory data (PBE) for a relaxed Cs12NaAg6 crystal.

Geometry as POSCAR:
```
Cs12NaAg6
1.0
-3.661 8.149 -7.617
4.941 -8.893 -5.858
-9.158 -3.986 6.169
Cs Ag Na
12 6 1
Direct
0.685 0.866 0.181
0.819 0.315 0.134
0.315 0.496 0.181
0.181 0.315 0.496
0.315 0.134 0.819
0.134 0.819 0.315
0.819 0.685 0.504
0.504 0.819 0.685
0.866 0.181 0.685
0.496 0.181 0.315
0.181 0.685 0.866
0.685 0.504 0.819
0.500 0.106 0.606
0.894 0.394 0.500
0.394 0.500 0.894
0.106 0.606 0.500
0.606 0.500 0.106
0.500 0.894 0.394
0.000 0.000 0.000
```

Summary:
- electronic total energy (eV/atom) = -1.48
- formation energy from the elements (eV/atom) = 0.026

Density functional theory data (PBE) for a relaxed CsNa3Ag crystal.

Geometry as POSCAR:
```
CsNa3Ag
1.0
-5.912 -0.969 0.642
-0.399 -1.434 -5.839
1.092 -5.772 1.343
Na Ag Cs
3 1 1
Direct
0.500 0.000 0.000
0.000 0.500 0.000
0.000 0.000 0.500
0.000 0.000 0.000
0.500 0.500 0.500
```

Summary:
- excess energy over the best structure of this formula in the dataset (eV/atom) = 0.000
- electronic total energy (eV/atom) = -1.48
- formation energy from the elements (eV/atom) = 0.048

Density functional theory data (PBE) for a relaxed CsNa3Ag crystal.

Geometry as POSCAR:
```
CsNa3Ag
1.0
-2.563 -3.358 -5.523
3.864 -6.474 2.143
-7.859 1.050 3.008
Na Ag Cs
6 2 2
Direct
0.750 0.172 0.344
0.250 0.921 0.269
0.250 0.828 0.656
0.750 0.079 0.731
0.250 0.348 0.269
0.750 0.652 0.731
0.500 0.000 0.000
0.000 0.000 0.000
0.250 0.401 0.802
0.750 0.599 0.198
```

Summary:
- excess energy over the best structure of this formula in the dataset (eV/atom) = 0.002
- electronic total energy (eV/atom) = -1.48
- formation energy from the elements (eV/atom) = 0.050

Density functional theory data (PBE) for a relaxed CsNaAg crystal.

Geometry as POSCAR:
```
CsNaAg
1.0
-0.501 -4.001 -3.683
5.259 -0.965 0.333
-3.404 -2.563 3.247
Ag Cs Na
1 1 1
Direct
0.166 0.000 0.000
0.667 0.667 0.333
0.167 0.333 0.667
```

Summary:
- excess energy over the best structure of this formula in the dataset (eV/atom) = 0.067
- electronic total energy (eV/atom) = -1.61
- formation energy from the elements (eV/atom) = 0.070

Density functional theory data (PBE) for a relaxed Cs4Na2Ag crystal.

Geometry as POSCAR:
```
Cs4Na2Ag
1.0
-1.369 -0.871 -7.039
-2.352 -6.708 1.288
-11.881 0.008 -1.398
Na Cs Ag
2 4 1
Direct
0.375 0.375 0.250
0.625 0.625 0.750
0.177 0.177 0.647
0.000 0.500 0.000
0.500 0.000 0.000
0.823 0.823 0.353
0.000 0.000 0.000
```

Summary:
- electronic total energy (eV/atom) = -1.20
- formation energy from the elements (eV/atom) = 0.076

Density functional theory data (PBE) for a relaxed CsNaAg crystal.

Geometry as POSCAR:
```
CsNaAg
1.0
5.959 0.000 0.000
2.980 5.161 0.000
2.980 1.720 4.866
Cs Na Ag
1 1 1
Direct
0.000 0.000 0.000
0.500 0.500 0.500
0.250 0.250 0.250
```

Summary:
- excess energy over the best structure of this formula in the dataset (eV/atom) = 0.154
- electronic total energy (eV/atom) = -1.52
- formation energy from the elements (eV/atom) = 0.157

Density functional theory data (PBE) for a relaxed Cs2NaAg crystal.

Geometry as POSCAR:
```
Cs2NaAg
1.0
4.925 0.000 0.000
2.462 4.265 0.000
2.462 1.422 12.987
Na Cs Ag
1 2 1
Direct
0.000 0.000 0.000
0.107 0.107 0.679
0.893 0.893 0.321
0.500 0.500 0.500
```

Summary:
- excess energy over the best structure of this formula in the dataset (eV/atom) = 0.126
- electronic total energy (eV/atom) = -1.32
- formation energy from the elements (eV/atom) = 0.145

Density functional theory data (PBE) for a relaxed Cs2NaAg crystal.

Geometry as POSCAR:
```
Cs2NaAg
1.0
0.000 4.771 4.771
4.771 0.000 4.771
4.771 4.771 0.000
Ag Cs Na
1 2 1
Direct
0.500 0.500 0.500
0.250 0.250 0.250
0.750 0.750 0.750
0.000 0.000 0.000
```

Summary:
- excess energy over the best structure of this formula in the dataset (eV/atom) = 0.064
- electronic total energy (eV/atom) = -1.39
- formation energy from the elements (eV/atom) = 0.083

Density functional theory data (PBE) for a relaxed CsNaAg crystal.

Geometry as POSCAR:
```
CsNaAg
1.0
5.654 0.000 0.000
0.000 9.321 0.000
0.000 0.000 9.199
Cs Ag Na
4 4 4
Direct
0.250 0.817 0.947
0.750 0.317 0.447
0.250 0.683 0.447
0.750 0.183 0.947
0.250 0.439 0.776
0.250 0.061 0.276
0.750 0.939 0.276
0.750 0.561 0.776
0.250 0.120 0.612
0.750 0.620 0.112
0.250 0.380 0.112
0.750 0.880 0.612
```

Summary:
- excess energy over the best structure of this formula in the dataset (eV/atom) = 0.066
- electronic total energy (eV/atom) = -1.61
- formation energy from the elements (eV/atom) = 0.069

Density functional theory data (PBE) for a relaxed CsNaAg crystal.

Geometry as POSCAR:
```
CsNaAg
1.0
12.891 0.000 0.000
0.000 6.152 0.000
0.000 0.000 11.829
Ag Cs Na
8 8 8
Direct
0.750 0.750 0.750
0.750 0.250 0.750
0.250 0.250 0.250
0.250 0.750 0.250
0.250 0.750 0.750
0.750 0.250 0.250
0.750 0.750 0.250
0.250 0.250 0.750
0.000 0.000 0.660
0.500 0.000 0.840
0.500 0.000 0.160
0.500 0.500 0.340
0.000 0.500 0.840
0.500 0.500 0.660
0.000 0.000 0.340
0.000 0.500 0.160
0.809 0.000 0.000
0.309 0.000 0.500
0.691 0.000 0.500
0.191 0.000 0.000
0.691 0.500 0.000
0.809 0.500 0.500
0.309 0.500 0.000
0.191 0.500 0.500
```

Summary:
- excess energy over the best structure of this formula in the dataset (eV/atom) = 0.075
- electronic total energy (eV/atom) = -1.60
- formation energy from the elements (eV/atom) = 0.077

Density functional theory data (PBE) for a relaxed Cs2NaAg crystal.

Geometry as POSCAR:
```
Cs2NaAg
1.0
-5.411 5.411 4.243
5.411 -5.411 4.243
5.411 5.411 -4.243
Cs Ag Na
4 2 2
Direct
0.625 0.678 0.553
0.322 0.875 0.947
0.125 0.072 0.447
0.928 0.375 0.053
0.250 0.750 0.500
0.000 0.000 0.000
0.500 0.500 0.000
0.750 0.250 0.500
```

Summary:
- excess energy over the best structure of this formula in the dataset (eV/atom) = 0.123
- electronic total energy (eV/atom) = -1.33
- formation energy from the elements (eV/atom) = 0.142

- electronic total energy of number 9 (Cs2NaAg)?
  -1.39 eV/atom

- Among the records above, which one has the lowest electronic total energy?
  number 1

- electronic total energy of number 1 (CsNaAg)?
  -1.65 eV/atom